Record 1
First-principles (PBE-GGA) data for Sm4Tm9Tl11 after structural relaxation, as listed in Alexandria.

```
data_Sm4Tm9Tl11
_cell_length_a 16.165
_cell_length_b 22.992
_cell_length_c 3.552
_cell_angle_alpha 90.00
_cell_angle_beta 90.00
_cell_angle_gamma 90.00
_symmetry_space_group_name_H-M 'C m m m'
_symmetry_Int_Tables_number 65
_symmetry_space_group_name_Hall '-C 2 2'
loop_
_atom_site_label
_atom_site_fract_x
_atom_site_fract_y
_atom_site_fract_z
_atom_site_occupancy
Sm1 0.169 0.081 0.000 1
Tm1 0.000 0.000 0.000 1
Tm2 0.108 0.405 0.000 1
Tm3 0.113 0.226 0.000 1
Tl1 0.000 0.124 0.500 1
Tl2 0.000 0.312 0.500 1
Tl3 0.000 0.500 0.500 1
Tl4 0.205 0.500 0.500 1
Tl5 0.227 0.319 0.500 1
```

=====

Record 2
# Sm8Tm2Tl PBE-GGA optimized geometry
# E above lowest polymorph: 69 meV per atom
data_Sm8Tm2Tl
_cell_length_a 5.408
_cell_length_b 8.341
_cell_length_c 8.341
_cell_angle_alpha 103.39
_cell_angle_beta 90.04
_cell_angle_gamma 90.04
_symmetry_space_group_name_H-M 'P -1'
_symmetry_Int_Tables_number 2
loop_
_symmetry_equiv_pos_as_xyz
'x,y,z'
'-x,-y,-z'
loop_
_atom_site_label
_atom_site_fract_x
_atom_site_fract_y
_atom_site_fract_z
_atom_site_occupancy
Sm1 0.000 0.165 0.165 1
Sm2 0.000 0.247 0.751 1
Sm3 0.499 0.199 0.472 1
Sm4 0.499 0.473 0.199 1
Tm1 0.500 0.121 0.879 1
Tl1 0.000 0.500 0.500 1

=====

Record 3
First-principles (PBE-GGA) data for Sm5TmTl6 after structural relaxation, as listed in Alexandria.

```
data_Sm5TmTl6
_cell_length_a 5.444
_cell_length_b 7.666
_cell_length_c 9.419
_cell_angle_alpha 113.87
_cell_angle_beta 106.73
_cell_angle_gamma 90.16
_symmetry_space_group_name_H-M 'P -1'
_symmetry_Int_Tables_number 2
loop_
_symmetry_equiv_pos_as_xyz
'x,y,z'
'-x,-y,-z'
loop_
_atom_site_label
_atom_site_fract_x
_atom_site_fract_y
_atom_site_fract_z
_atom_site_occupancy
Sm1 0.000 0.000 0.000 1
Sm2 0.330 0.330 0.660 1
Sm3 0.334 0.834 0.669 1
Tm1 0.000 0.500 0.000 1
Tl1 0.164 0.418 0.327 1
Tl2 0.164 0.909 0.328 1
Tl3 0.499 0.741 0.000 1
```

=====

Record 4
First-principles (PBE-GGA) data for Sm12TmTl3 after structural relaxation, as listed in Alexandria.

```
data_Sm12TmTl3
_cell_length_a 4.945
_cell_length_b 4.945
_cell_length_c 20.180
_cell_angle_alpha 90.00
_cell_angle_beta 90.00
_cell_angle_gamma 90.00
_symmetry_space_group_name_H-M 'P 4/m m m'
_symmetry_Int_Tables_number 123
_symmetry_space_group_name_Hall '-P 4 2'
loop_
_atom_site_label
_atom_site_fract_x
_atom_site_fract_y
_atom_site_fract_z
_atom_site_occupancy
Sm1 0.000 0.000 0.000 1
Sm2 0.000 0.000 0.247 1
Sm3 0.000 0.000 0.500 1
Sm4 0.000 0.500 0.124 1
Sm5 0.000 0.500 0.371 1
Tm1 0.500 0.500 0.500 1
Tl1 0.500 0.500 0.000 1
Tl2 0.500 0.500 0.244 1
```

=====

Record 5
# Sm2Tm2Tl PBE-GGA optimized geometry
# E above lowest polymorph: 0 meV per atom
data_Sm2Tm2Tl
_cell_length_a 8.479
_cell_length_b 9.459
_cell_length_c 8.533
_cell_angle_alpha 90.00
_cell_angle_beta 116.51
_cell_angle_gamma 90.00
_symmetry_space_group_name_H-M 'C 1 2/m 1'
_symmetry_Int_Tables_number 12
loop_
_symmetry_equiv_pos_as_xyz
'x,y,z'
'-x,-y,-z'
'-x,y,-z'
'x,-y,z'
'x+1/2,y+1/2,z'
'-x+1/2,-y+1/2,-z'
'-x+1/2,y+1/2,-z'
'x+1/2,-y+1/2,z'
loop_
_atom_site_label
_atom_site_fract_x
_atom_site_fract_y
_atom_site_fract_z
_atom_site_occupancy
Sm1 0.078 0.186 0.213 1
Tm1 0.157 0.500 0.936 1
Tm2 0.223 0.000 0.613 1
Tl1 0.000 0.330 0.500 1

=====

Record 6
First-principles (PBE-GGA) data for SmTmTl6 after structural relaxation, as listed in Alexandria.

```
data_SmTmTl6
_cell_length_a 4.779
_cell_length_b 4.779
_cell_length_c 9.548
_cell_angle_alpha 90.00
_cell_angle_beta 90.00
_cell_angle_gamma 90.00
_symmetry_space_group_name_H-M 'P 4/m m m'
_symmetry_Int_Tables_number 123
_symmetry_space_group_name_Hall '-P 4 2'
loop_
_atom_site_label
_atom_site_fract_x
_atom_site_fract_y
_atom_site_fract_z
_atom_site_occupancy
Sm1 0.000 0.000 0.000 1
Tm1 0.000 0.000 0.500 1
Tl1 0.000 0.500 0.254 1
Tl2 0.500 0.500 0.000 1
Tl3 0.500 0.500 0.500 1
```

=====

Record 7
First-principles (PBE-GGA) data for SmTm2Tl9 after structural relaxation, as listed in Alexandria.

```
data_SmTm2Tl9
_cell_length_a 4.766
_cell_length_b 4.766
_cell_length_c 14.303
_cell_angle_alpha 90.00
_cell_angle_beta 90.00
_cell_angle_gamma 90.00
_symmetry_space_group_name_H-M 'P 4/m m m'
_symmetry_Int_Tables_number 123
_symmetry_space_group_name_Hall '-P 4 2'
loop_
_atom_site_label
_atom_site_fract_x
_atom_site_fract_y
_atom_site_fract_z
_atom_site_occupancy
Sm1 0.000 0.000 0.000 1
Tm1 0.000 0.000 0.334 1
Tl1 0.000 0.500 0.170 1
Tl2 0.000 0.500 0.500 1
Tl3 0.500 0.500 0.000 1
Tl4 0.500 0.500 0.334 1
```

=====

Record 8
# Sm2Tm3Tl PBE-GGA optimized geometry
# E above lowest polymorph: 160 meV per atom
data_Sm2Tm3Tl
_cell_length_a 3.436
_cell_length_b 17.351
_cell_length_c 6.414
_cell_angle_alpha 90.00
_cell_angle_beta 90.00
_cell_angle_gamma 90.00
_symmetry_space_group_name_H-M 'I m m 2'
_symmetry_Int_Tables_number 44
loop_
_symmetry_equiv_pos_as_xyz
'x,y,z'
'-x,-y,z'
'-x,y,z'
'x,-y,z'
'x+1/2,y+1/2,z+1/2'
'-x+1/2,-y+1/2,z+1/2'
'-x+1/2,y+1/2,z+1/2'
'x+1/2,-y+1/2,z+1/2'
loop_
_atom_site_label
_atom_site_fract_x
_atom_site_fract_y
_atom_site_fract_z
_atom_site_occupancy
Sm1 0.000 0.191 0.000 1
Tm1 0.000 0.135 0.493 1
Tm2 0.000 0.500 0.698 1
Tl1 0.000 0.000 0.783 1

=====

no.,calculated formation energy (eV per atom)
1,-0.24
2,0.09
3,-0.36
4,-0.14
5,-0.03
6,-0.24
7,-0.22
8,0.12